Density functional theory data (PBE-GGA) for crystalline La2YZnRu at its relaxed geometry. Values from VASP.

Quantum ESPRESSO input file:
```
&SYSTEM
  ibrav = 0, nat = 5, ntyp = 4
/
ATOMIC_SPECIES
La 138.91 La.upf
Zn 65.41 Zn.upf
Ru 101.07 Ru.upf
Y 88.91 Y.upf
CELL_PARAMETERS angstrom
-0.008 -1.900 -5.084
-2.063 -4.702 1.761
-5.025 1.936 -0.715
ATOMIC_POSITIONS crystal
La 0.500 0.000 0.000
La 0.000 0.500 0.000
Zn 0.500 0.500 0.500
Ru 0.000 0.000 0.000
Y 0.000 0.000 0.500
```

Properties
Uncorrected energy = -0.2007 hartree per atom
Space-group type = P4/mmm (123)
Volume = 32.0 Å³ per atom
Total moment = 0.000 μB per atom